Record 1
A geometry-optimized AgCS2Cl structure, computed with PBE.

Cell and atoms, written as extended XYZ:
```
5
Lattice="-2.897 1.878 1.722 -1.873 0.198 -3.368 -3.490 -6.796 1.541" Properties=species:S:1:pos:R:3 pbc="T T T"
C 0.000 0.000 0.000
Cl -1.745 -3.398 0.771
S -1.449 0.939 0.861
S -0.937 0.099 -1.684
Ag -4.130 -2.360 -0.052
```

Properties
- Relative energy among the computed polymorphs: 0.000 eV per atom
- Formation energy without anion corrections: 0.91 eV per atom
- Magnetic moment: 0.00 μB/atom
- Density of states at the Fermi level: 2.300 states/eV/f.u.
- Symmetry: P4/mmm


Record 2
A geometry-optimized AgCSCl2 structure, computed with PBE.

Cell and atoms, written as extended XYZ:
```
5
Lattice="-3.667 1.298 3.470 1.871 -3.564 3.311 2.187 2.445 1.396" Properties=species:S:1:pos:R:3 pbc="T T T"
Cl 0.936 -1.782 1.656
Cl -1.833 0.649 1.735
S 1.094 1.223 0.698
Ag 0.196 0.090 4.089
C 0.000 0.000 0.000
```

Properties
- Relative energy among the computed polymorphs: 0.000 eV per atom
- Formation energy without anion corrections: 0.89 eV per atom
- Magnetic moment: 0.00 μB/atom
- Density of states at the Fermi level: 4.080 states/eV/f.u.
- Symmetry: P4/mmm


Record 3
A geometry-optimized Ag2CSCl structure, computed with PBE.

Cell and atoms, written as extended XYZ:
```
5
Lattice="-0.508 4.101 -3.161 -3.578 -0.230 0.277 0.114 3.184 4.113" Properties=species:S:1:pos:R:3 pbc="T T T"
Cl 0.000 0.000 0.000
Ag -0.254 2.050 -1.580
Ag 0.057 1.592 2.056
C -1.789 -0.115 0.139
S -1.986 3.528 0.615
```

Properties
- Formation energy without anion corrections: 1.55 eV per atom
- Magnetic moment: 0.00 μB/atom
- Density of states at the Fermi level: 2.648 states/eV/f.u.
- Symmetry: P4/mmm


Record 4
A geometry-optimized AgCSCl2 structure, computed with PBE.

Cell and atoms, written as extended XYZ:
```
5
Lattice="4.917 0.000 0.000 0.000 4.917 0.000 0.000 0.000 5.047" Properties=species:S:1:pos:R:3 pbc="T T T"
Ag 0.000 0.000 0.000
Cl 2.459 0.000 0.000
Cl 0.000 2.459 0.000
S 0.000 0.000 2.523
C 2.459 2.459 2.523
```

Properties
- Relative energy among the computed polymorphs: 0.769 eV per atom
- Formation energy without anion corrections: 1.66 eV per atom
- Magnetic moment: 0.05 μB/atom
- Density of states at the Fermi level: 3.180 states/eV/f.u.
- Symmetry: P4/mmm


Record 5
A geometry-optimized AgCS2Cl structure, computed with PBE.

Cell and atoms, written as extended XYZ:
```
5
Lattice="-4.042 -2.534 -0.862 0.145 -1.765 4.512 -2.656 3.714 1.538" Properties=species:S:1:pos:R:3 pbc="T T T"
S -2.021 -1.267 -0.431
S 0.072 -0.883 2.256
Cl -1.328 1.857 0.769
C -3.277 -0.292 2.594
Ag 0.000 0.000 0.000
```

Properties
- Relative energy among the computed polymorphs: 1.115 eV per atom
- Formation energy without anion corrections: 2.03 eV per atom
- Magnetic moment: 0.00 μB/atom
- Density of states at the Fermi level: 5.206 states/eV/f.u.
- Symmetry: P4/mmm


Record 6
A geometry-optimized AgSb2CCl structure, computed with PBE.

Cell and atoms, written as extended XYZ:
```
5
Lattice="-3.993 -0.639 -2.614 2.480 -0.271 -3.723 0.373 -4.764 0.595" Properties=species:S:1:pos:R:3 pbc="T T T"
Sb -1.997 -0.320 -1.307
Sb 0.186 -2.382 0.298
Ag -0.570 -2.837 -2.870
C 0.000 0.000 0.000
Cl 1.240 -0.136 -1.861
```

Properties
- Formation energy without anion corrections: 0.99 eV per atom
- Magnetic moment: 0.00 μB/atom
- Density of states at the Fermi level: 2.901 states/eV/f.u.
- Symmetry: P4/mmm


Record 7
A geometry-optimized Si2AgCCl structure, computed with PBE.

Cell and atoms, written as extended XYZ:
```
5
Lattice="-3.479 3.135 -1.087 -1.836 -2.650 -1.768 -2.291 -1.130 4.073" Properties=species:S:1:pos:R:3 pbc="T T T"
C -0.918 -1.325 -0.884
Ag -3.803 -0.323 0.609
Si -1.145 -0.565 2.037
Si -1.740 1.568 -0.543
Cl 0.000 0.000 0.000
```

Properties
- Formation energy without anion corrections: 1.86 eV per atom
- Magnetic moment: 0.00 μB/atom
- Density of states at the Fermi level: 2.052 states/eV/f.u.
- Symmetry: P4/mmm


Record 8
A geometry-optimized Sm3AgCCl structure, computed with PBE.

Cell and atoms, written as extended XYZ:
```
12
Lattice="3.746 0.000 0.000 0.000 8.968 1.309 0.000 -2.018 8.717" Properties=species:S:1:pos:R:3 pbc="T T T"
Sm 2.810 3.622 1.862
Sm 0.937 5.066 4.529
Sm 2.810 1.884 5.497
Sm 0.937 3.328 8.164
Sm 2.810 7.150 2.047
Sm 0.937 -0.200 7.978
Ag 2.810 5.860 7.679
Ag 0.937 1.090 2.346
C 2.810 1.482 7.975
C 0.937 5.468 2.051
Cl 2.810 7.093 4.752
Cl 0.937 -0.143 5.274
```

Properties
- Formation energy without anion corrections: -0.54 eV per atom
- Magnetic moment: 0.15 μB/atom
- Density of states at the Fermi level: 3.707 states/eV/f.u.
- Symmetry: P2_1/m